No. 1
This record from Alexandria describes a relaxed BaHo4In5 crystal. The functional is PBE.

Unit cell a=3.830 b=3.830 c=19.374 alpha=90.00 beta=90.00 gamma=90.00
Atoms (fractional coordinates):
Ba  0.000  0.000  0.000
Ho  0.000  0.000  0.219
Ho  0.000  0.000  0.407
Ho  0.000  0.000  0.593
Ho  0.000  0.000  0.781
In  0.500  0.500  0.128
In  0.500  0.500  0.313
In  0.500  0.500  0.500
In  0.500  0.500  0.687
In  0.500  0.500  0.872

Calculated values
Space group: P4/mmm
Calculated formation energy, meV/atom: -436
Calculated volume, Å³ per cell: 284.16
E, eV/cell: -38.3

No. 2
This record from Alexandria describes a relaxed Cs2MgPtPb crystal. The functional is PBE.

Unit cell a=6.799 b=6.799 c=5.010 alpha=90.00 beta=90.00 gamma=90.00
Atoms (fractional coordinates):
Cs  0.000  0.500  0.000
Cs  0.500  0.000  0.000
Mg  0.000  0.000  0.500
Pt  0.000  0.000  0.000
Pb  0.500  0.500  0.500

Calculated values
Space group: P4/mmm
Calculated formation energy, meV/atom: 155
Calculated volume, Å³ per cell: 231.57
E, eV/cell: -12.3

No. 3
This record from Alexandria describes a relaxed CaAl2P crystal. The functional is PBE.

Unit cell a=8.108 b=8.108 c=8.108 alpha=26.10 beta=26.10 gamma=26.10
Atoms (fractional coordinates):
Ca  0.000  0.000  0.000
Al  0.227  0.227  0.227
Al  0.773  0.773  0.773
P  0.500  0.500  0.500

Calculated values
Space group: R-3m
Calculated formation energy, meV/atom: -152
Calculated volume, Å³ per cell: 90.92
E, eV/cell: -15.5

No. 4
This record from Alexandria describes a relaxed KTl2Cd crystal. The functional is PBE.

Unit cell a=10.689 b=10.689 c=10.689 alpha=20.21 beta=20.21 gamma=20.21
Atoms (fractional coordinates):
K  0.000  0.000  0.000
Tl  0.239  0.239  0.239
Tl  0.761  0.761  0.761
Cd  0.500  0.500  0.500

Calculated values
Space group: R-3m
Calculated formation energy, meV/atom: 19
Calculated volume, Å³ per cell: 127.51
E, eV/cell: -6.7